[1]
# TlNiAg | the Alexandria database | PBE | optimized geometry
data_TlNiAg
_space_group_name_H-M_alt 'F -4 3 m'
_space_group_IT_number 216
_space_group_name_Hall 'F -4 2 3'
_cell_length_a 6.2075
_cell_length_b 6.2075
_cell_length_c 6.2075
_cell_angle_alpha 90.00
_cell_angle_beta 90.00
_cell_angle_gamma 90.00
loop_
_atom_site_label
_atom_site_type_symbol
_atom_site_fract_x
_atom_site_fract_y
_atom_site_fract_z
_atom_site_occupancy
Tl1 Tl 0.0000 0.0000 0.0000 1
Ni1 Ni 0.2500 0.2500 0.7500 1
Ag1 Ag 0.0000 0.0000 0.5000 1
# E = -40.47 eV per cell
# DFT formation energy = 0.2935 eV per atom
# Density of states at the Fermi level = 1.1 states/eV/f.u.
# Energy above the most stable polymorph in this dataset = 0 meV per atom
# Mass density = 10.30 Mg/m³
# Spin magnetization = 0.0 μB/cell

[2]
# Pa3Cu | the Alexandria database | PBE | optimized geometry
data_Pa3Cu
_space_group_name_H-M_alt 'P m -3 m'
_space_group_IT_number 221
_space_group_name_Hall '-P 4 2 3'
_cell_length_a 4.4642
_cell_length_b 4.4642
_cell_length_c 4.4642
_cell_angle_alpha 90.00
_cell_angle_beta 90.00
_cell_angle_gamma 90.00
loop_
_atom_site_label
_atom_site_type_symbol
_atom_site_fract_x
_atom_site_fract_y
_atom_site_fract_z
_atom_site_occupancy
Pa1 Pa 0.0000 0.0000 0.5000 1
Cu1 Cu 0.5000 0.5000 0.5000 1
# E = -31.81 eV per cell
# DFT formation energy = 0.1923 eV per atom
# Density of states at the Fermi level = 8.1 states/eV/f.u.
# Energy above the most stable polymorph in this dataset = 164 meV per atom
# Mass density = 14.12 Mg/m³
# Spin magnetization = 0.0 μB/cell

[3]
# Y2Ga2Ni15 | the Alexandria database | PBE | optimized geometry
data_Y2Ga2Ni15
_space_group_name_H-M_alt 'R -3 m'
_space_group_IT_number 166
_space_group_name_Hall '-R 3 2"'
_cell_length_a 8.3330
_cell_length_b 8.3330
_cell_length_c 12.2723
_cell_angle_alpha 90.00
_cell_angle_beta 90.00
_cell_angle_gamma 120.00
loop_
_atom_site_label
_atom_site_type_symbol
_atom_site_fract_x
_atom_site_fract_y
_atom_site_fract_z
_atom_site_occupancy
Y1 Y 0.0000 0.0000 0.1511 1
Ga1 Ga 0.0000 0.0000 0.3967 1
Ni1 Ni 0.0000 0.2974 0.5000 1
Ni2 Ni 0.0000 0.5000 0.0000 1
Ni3 Ni 0.0015 0.5007 0.3458 1
# E = -332.15 eV per cell
# DFT formation energy = -0.2639 eV per atom
# Density of states at the Fermi level = 24.4 states/eV/f.u.
# Mass density = 8.08 Mg/m³
# Spin magnetization = 10.4 μB/cell

[4]
# TbNd7Ho3 | the Alexandria database | PBE | optimized geometry
data_TbNd7Ho3
_space_group_name_H-M_alt 'C 1 2/m 1'
_space_group_IT_number 12
_cell_length_a 12.8204
_cell_length_b 11.3977
_cell_length_c 5.9145
_cell_angle_alpha 90.00
_cell_angle_beta 117.43
_cell_angle_gamma 90.00
loop_
_space_group_symop_operation_xyz
'x,y,z'
'-x,-y,-z'
'-x,y,-z'
'x,-y,z'
'x+1/2,y+1/2,z'
'-x+1/2,-y+1/2,-z'
'-x+1/2,y+1/2,-z'
'x+1/2,-y+1/2,z'
loop_
_atom_site_label
_atom_site_type_symbol
_atom_site_fract_x
_atom_site_fract_y
_atom_site_fract_z
_atom_site_occupancy
Tb1 Tb 0.0000 0.0000 0.0000 1
Nd1 Nd 0.0000 0.0000 0.5000 1
Nd2 Nd 0.1932 0.2903 0.1930 1
Nd3 Nd 0.2091 0.5000 0.7077 1
Ho1 Ho 0.0000 0.2959 0.5000 1
Ho2 Ho 0.0000 0.5000 0.0000 1
# E = -98.51 eV per cell
# DFT formation energy = 0.2256 eV per atom
# Density of states at the Fermi level = 14.8 states/eV/f.u.
# Energy above the most stable polymorph in this dataset = 44 meV per atom
# Mass density = 7.20 Mg/m³
# Spin magnetization = 0.0 μB/cell